(1)
Compound: SbAsSe2O
Source: Alexandria
Functional: PBE-GGA
Structure: relaxed

Cell and atoms, written as POSCAR:
```
SbAsSe2O
1.0
-1.032 3.680 -3.519
-1.261 -3.664 -3.461
-5.204 0.176 1.709
Sb O Se As
1 1 2 1
direct
0.000 0.000 0.000
0.500 0.500 0.500
0.000 0.500 0.000
0.500 0.000 0.000
0.000 0.000 0.500
```

Values from the calculation:
* E: -2.84 eV/atom
* uncorrected formation energy: 1.300 eV/atom
* symmetry: P4/mmm, No. 123

(2)
Compound: Pu2N2Cl
Source: Alexandria
Functional: PBE-GGA
Structure: relaxed

Cell and atoms, written as POSCAR:
```
Pu2N2Cl
1.0
5.766 0.100 -1.630
-2.241 4.770 -2.853
0.013 0.053 6.340
Cl Pu N
2 4 4
direct
0.094 0.844 0.250
0.906 0.156 0.750
0.819 0.187 0.196
0.492 0.623 0.304
0.508 0.377 0.696
0.181 0.813 0.804
0.764 0.511 0.525
0.236 0.489 0.475
0.486 0.239 0.975
0.514 0.761 0.025
```

Values from the calculation:
* E: -10.81 eV/atom
* uncorrected formation energy: -1.376 eV/atom
* symmetry: C2/c, No. 15

(3)
Compound: ZnSeBr2
Source: Alexandria
Functional: PBE-GGA
Structure: relaxed

Cell and atoms, written as POSCAR:
```
ZnSeBr2
1.0
4.122 -0.601 -0.141
2.799 3.085 -0.141
0.895 0.321 8.515
Br Zn Se
2 1 1
direct
0.888 0.888 0.099
0.555 0.555 0.684
0.380 0.380 0.297
0.677 0.677 0.420
```

Values from the calculation:
* E: -2.45 eV/atom
* uncorrected formation energy: -0.424 eV/atom
* symmetry: Cm, No. 8

(4)
Compound: LiGdIrPd
Source: Alexandria
Functional: PBE-GGA
Structure: relaxed

Cell and atoms, written as POSCAR:
```
LiGdIrPd
1.0
4.655 0.000 0.000
2.327 4.031 0.000
2.327 1.344 3.801
Pd Li Gd Ir
1 1 1 1
direct
0.750 0.750 0.750
0.000 0.000 0.000
0.500 0.500 0.500
0.250 0.250 0.250
```

Values from the calculation:
* E: -7.98 eV/atom
* symmetry: F-43m, No. 216
* E_form: -0.467 eV/atom

(5)
Compound: RhAu3Cl
Source: Alexandria
Functional: PBE-GGA
Structure: relaxed

Cell and atoms, written as POSCAR:
```
RhAu3Cl
1.0
5.050 0.000 0.000
0.000 5.050 0.000
0.000 0.000 5.050
Au Cl Rh
3 1 1
direct
0.500 0.000 0.000
0.000 0.500 0.000
0.000 0.000 0.500
0.500 0.500 0.500
0.000 0.000 0.000
```

Values from the calculation:
* E: -2.84 eV/atom
* uncorrected formation energy: 0.969 eV/atom
* symmetry: Pm-3m, No. 221

(6)
Compound: TbHoNp2S4
Source: Alexandria
Functional: PBE-GGA
Structure: relaxed

Cell and atoms, written as POSCAR:
```
TbHoNp2S4
1.0
3.908 0.000 0.000
0.000 6.781 0.122
0.000 -2.363 6.330
S Np Tb Ho
4 2 1 1
direct
0.500 0.752 0.751
0.000 0.752 0.251
0.000 0.248 0.749
0.500 0.248 0.249
0.000 0.500 0.500
0.500 0.000 0.500
0.500 0.500 0.000
0.000 0.000 0.000
```

Values from the calculation:
* E: -8.14 eV/atom
* uncorrected formation energy: -1.694 eV/atom
* symmetry: P2/m, No. 10

(7)
Compound: CoAg2Sb
Source: Alexandria
Functional: PBE-GGA
Structure: relaxed

Cell and atoms, written as POSCAR:
```
CoAg2Sb
1.0
-0.922 2.643 -1.498
-2.487 0.922 3.158
4.119 2.811 2.423
Sb Ag Co
1 2 1
direct
0.500 0.500 0.750
0.000 0.000 0.013
0.000 0.000 0.487
0.500 0.500 0.250
```

Values from the calculation:
* E: -3.85 eV/atom
* uncorrected formation energy: 0.385 eV/atom
* symmetry: Pmmm, No. 47

(8)
Compound: KHgHBr2
Source: Alexandria
Functional: PBE-GGA
Structure: relaxed

Cell and atoms, written as POSCAR:
```
KHgHBr2
1.0
-3.728 2.220 3.987
-3.737 -4.440 -1.022
1.689 -2.047 2.719
Br K H Hg
2 1 1 1
direct
0.500 0.000 0.000
0.000 0.500 0.000
0.500 0.500 0.500
0.000 0.000 0.500
0.000 0.000 0.000
```

Values from the calculation:
* E: -2.30 eV/atom
* symmetry: P4/mmm, No. 123

(9)
Compound: HfGa5Tc
Source: Alexandria
Functional: PBE-GGA
Structure: relaxed

Cell and atoms, written as POSCAR:
```
HfGa5Tc
1.0
4.323 0.000 0.000
0.000 4.323 0.000
0.000 0.000 6.571
Hf Tc Ga
1 1 5
direct
0.000 0.000 0.000
0.000 0.000 0.500
0.500 0.500 0.000
0.500 0.000 0.294
0.000 0.500 0.706
0.500 0.000 0.706
0.000 0.500 0.294
```

Values from the calculation:
* E: -5.34 eV/atom
* symmetry: P4/mmm, No. 123
* E_form: -0.271 eV/atom

(10)
Compound: AsP2Au
Source: Alexandria
Functional: PBE-GGA
Structure: relaxed

Cell and atoms, written as POSCAR:
```
AsP2Au
1.0
5.477 0.033 0.058
-2.428 4.909 0.058
0.541 0.877 2.553
As Au P
1 1 2
direct
0.500 0.000 0.500
0.000 0.500 0.500
0.500 0.500 0.000
0.000 0.000 0.000
```

Values from the calculation:
* E: -4.08 eV/atom
* symmetry: C2/m, No. 12
* E_form: 0.604 eV/atom

(11)
Compound: CdNCl2
Source: Alexandria
Functional: PBE-GGA
Structure: relaxed

Cell and atoms, written as POSCAR:
```
CdNCl2
1.0
-2.125 -2.310 2.352
5.512 -1.228 3.774
-3.870 7.158 3.543
Cd Cl N
2 4 2
direct
0.277 0.843 0.552
0.777 0.343 0.551
0.278 0.115 0.383
0.778 0.616 0.384
0.277 0.570 0.720
0.777 0.071 0.720
0.778 0.841 0.048
0.278 0.346 0.055
```

Values from the calculation:
* E: -2.75 eV/atom
* uncorrected formation energy: 0.479 eV/atom
* symmetry: P2_1/m, No. 11

> What is the formula in the fifth record?

RhAu3Cl

> Look up the E of the second one.

-10.81 eV/atom